(1)
DFT (meta-GGA SCAN) results for a PBEsol-optimized structure of InSe2F.

formation energy from raw total energies	-0.30	eV per atom
mass density	4.76	g/cm³
M_tot	1.895	μB/f.u.
electronic total energy	-78.293	eV per formula unit
crystal system	tetragonal
SG	I-42d
D(E_F)	5.8	states/eV per cell

Cell: 5.9456 5.9456 7.1319 Å, 114.63 114.63 90.00°
Last column: nearest neighbours and their distance in Å.
Atoms (fractional coordinates):
1 In 0.0000 0.0000 0.0000  4 Se 2.62
2 Se 0.3964 0.8750 0.2500  2 F 2.48, 2 In 2.62
3 Se 0.1250 0.1464 0.7500  2 F 2.48, 2 In 2.62
4 Se 0.8536 0.3750 0.2500  2 F 2.48, 2 In 2.62
5 F 0.5000 0.5000 0.0000  4 Se 2.48
6 Se 0.6250 0.6036 0.7500  2 F 2.48, 2 In 2.62
7 In 0.2500 0.7500 0.5000  4 Se 2.62
8 F 0.7500 0.2500 0.5000  4 Se 2.48

***

(2)
DFT (meta-GGA SCAN) results for a PBEsol-optimized structure of TlInSe2F.

formation energy from raw total energies	-0.42	eV per atom
mass density	6.64	g/cm³
M_tot	0.000	μB/f.u.
electronic total energy	-151.556	eV per formula unit
crystal system	tetragonal
SG	P4/mmm
D(E_F)	3.2	states/eV per cell

Cell: 4.3918 5.3163 5.3163 Å, 90.00 90.00 90.00°
Last column: nearest neighbours and their distance in Å.
Atoms (fractional coordinates):
1 Tl 0.0000 0.0000 0.0000  2 F 2.20
2 Se 0.0000 0.5000 0.0000  2 Tl 2.66
3 Se 0.0000 0.0000 0.5000  2 Tl 2.66
4 F 0.5000 0.0000 0.0000  2 Tl 2.20
5 In 0.5000 0.5000 0.5000  8 Se 3.45, 4 F 3.76

***

(3)
DFT (meta-GGA SCAN) results for a PBEsol-optimized structure of InSiF2.

formation energy from raw total energies	-1.10	eV per atom
mass density	5.12	g/cm³
M_tot	0.000	μB/f.u.
electronic total energy	-54.902	eV per formula unit
crystal system	trigonal
SG	R-3m
D(E_F)	0.6	states/eV per cell

Cell: 2.8973 2.8973 8.2377 Å, 79.87 79.87 60.00°
Last column: nearest neighbours and their distance in Å.
Atoms (fractional coordinates):
1 In 0.0000 0.0000 0.0000  2 F 2.20
2 Si 0.5000 0.5000 0.5000  6 F 2.48
3 F 0.9090 0.9090 0.2731  1 In 2.20
4 F 0.0910 0.0910 0.7269  1 In 2.20

***

(4)
DFT (meta-GGA SCAN) results for a PBEsol-optimized structure of SrInF2.

formation energy from raw total energies	-2.79	eV per atom
mass density	4.27	g/cm³
M_tot	0.000	μB/f.u.
electronic total energy	-73.907	eV per formula unit
crystal system	trigonal
SG	R-3m
D(E_F)	0.7	states/eV per cell

Cell: 3.8317 3.8317 7.6861 Å, 75.57 75.57 60.00°
Last column: nearest neighbours and their distance in Å.
Atoms (fractional coordinates):
1 In 0.0000 0.0000 0.0000  2 F 2.74
2 F 0.1239 0.1239 0.6282  3 Sr 2.41
3 Sr 0.5000 0.5000 0.5000  6 F 2.41
4 F 0.8761 0.8761 0.3718  3 Sr 2.41

***

(5)
DFT (meta-GGA SCAN) results for a PBEsol-optimized structure of SrIn2WF.

formation energy from raw total energies	-0.28	eV per atom
mass density	7.23	g/cm³
M_tot	0.596	μB/f.u.
electronic total energy	-163.695	eV per formula unit
crystal system	tetragonal
SG	P4/mmm
D(E_F)	3.1	states/eV per cell

Cell: 4.0801 5.4110 5.4110 Å, 90.00 90.00 90.00°
Last column: nearest neighbours and their distance in Å.
Atoms (fractional coordinates):
1 W 0.0000 0.0000 0.0000  2 F 2.04
2 In 0.0000 0.5000 0.0000  2 W 2.71
3 In 0.0000 0.0000 0.5000  2 W 2.71
4 F 0.5000 0.0000 0.0000  2 W 2.04
5 Sr 0.5000 0.5000 0.5000  8 In 3.39

***

(6)
DFT (meta-GGA SCAN) results for a PBEsol-optimized structure of TaInF3.

formation energy from raw total energies	-1.65	eV per atom
mass density	7.44	g/cm³
M_tot	2.778	μB/f.u.
electronic total energy	-118.853	eV per formula unit
crystal system	cubic
SG	Pm-3m
D(E_F)	2.0	states/eV per cell

Cell: 4.2866 4.2866 4.2866 Å, 90.00 90.00 90.00°
Last column: nearest neighbours and their distance in Å.
Atoms (fractional coordinates):
1 Ta 0.0000 0.0000 0.0000  6 F 2.14
2 F 0.5000 0.0000 0.0000  2 Ta 2.14
3 In 0.5000 0.5000 0.5000  12 F 3.03
4 F 0.0000 0.5000 0.0000  2 Ta 2.14
5 F 0.0000 0.0000 0.5000  2 Ta 2.14

***

(7)
DFT (meta-GGA SCAN) results for a PBEsol-optimized structure of TaInF2.

formation energy from raw total energies	-1.44	eV per atom
mass density	7.70	g/cm³
M_tot	0.000	μB/f.u.
electronic total energy	-112.822	eV per formula unit
crystal system	trigonal
SG	R-3m
D(E_F)	1.6	states/eV per cell

Cell: 2.8561 2.8561 10.3235 Å, 82.05 82.05 60.00°
Last column: nearest neighbours and their distance in Å.
Atoms (fractional coordinates):
1 In 0.0000 0.0000 0.0000  6 In 2.86
2 F 0.8828 0.8828 0.3517  3 Ta 2.24
3 F 0.1172 0.1172 0.6483  3 Ta 2.24
4 Ta 0.5000 0.5000 0.5000  6 F 2.24

***

(8)
DFT (meta-GGA SCAN) results for a PBEsol-optimized structure of InTe3F.

formation energy from raw total energies	-0.04	eV per atom
mass density	6.81	g/cm³
M_tot	0.000	μB/f.u.
electronic total energy	-148.857	eV per formula unit
crystal system	cubic
SG	Pm-3m
D(E_F)	2.3	states/eV per cell

Cell: 5.0139 5.0139 5.0139 Å, 90.00 90.00 90.00°
Last column: nearest neighbours and their distance in Å.
Atoms (fractional coordinates):
1 Te 0.0000 0.5000 0.0000  2 F 2.51
2 In 0.5000 0.5000 0.5000  12 Te 3.55
3 F 0.0000 0.0000 0.0000  6 Te 2.51
4 Te 0.5000 0.0000 0.0000  2 F 2.51
5 Te 0.0000 0.0000 0.5000  2 F 2.51

***

(9)
DFT (meta-GGA SCAN) results for a PBEsol-optimized structure of Ti3InF.

formation energy from raw total energies	0.83	eV per atom
mass density	3.43	g/cm³
M_tot	6.016	μB/f.u.
electronic total energy	-80.860	eV per formula unit
crystal system	cubic
SG	Pm-3m
D(E_F)	4.2	states/eV per cell

Cell: 5.1211 5.1211 5.1211 Å, 90.00 90.00 90.00°
Last column: nearest neighbours and their distance in Å.
Atoms (fractional coordinates):
1 Ti 0.0000 0.0000 0.5000  2 In 2.56
2 Ti 0.0000 0.5000 0.0000  2 In 2.56
3 F 0.5000 0.5000 0.5000  12 Ti 3.62
4 In 0.0000 0.0000 0.0000  6 Ti 2.56
5 Ti 0.5000 0.0000 0.0000  2 In 2.56

***

(10)
DFT (meta-GGA SCAN) results for a PBEsol-optimized structure of TlIn2F2.

formation energy from raw total energies	-1.39	eV per atom
mass density	7.83	g/cm³
M_tot	0.000	μB/f.u.
electronic total energy	-153.153	eV per formula unit
crystal system	tetragonal
SG	I4/mmm
D(E_F)	1.1	states/eV per cell

Cell: 3.7645 3.7645 7.5492 Å, 104.44 104.44 90.00°
Last column: nearest neighbours and their distance in Å.
Atoms (fractional coordinates):
1 In 0.3562 0.3562 0.7124  4 F 2.41
2 F 0.2500 0.7500 0.5000  4 In 2.41, 4 F 2.66
3 In 0.6438 0.6438 0.2876  4 F 2.41
4 Tl 0.0000 0.0000 0.0000  8 In 3.35
5 F 0.7500 0.2500 0.5000  4 In 2.41, 4 F 2.66

***

(11)
DFT (meta-GGA SCAN) results for a PBEsol-optimized structure of K3IrF.

formation energy from raw total energies	-0.04	eV per atom
mass density	2.69	g/cm³
M_tot	1.000	μB/f.u.
electronic total energy	-99.841	eV per formula unit
crystal system	cubic
SG	Pm-3m
D(E_F)	2.6	states/eV per cell

Cell: 5.8721 5.8721 5.8721 Å, 90.00 90.00 90.00°
Last column: nearest neighbours and their distance in Å.
Atoms (fractional coordinates):
1 F 0.5000 0.5000 0.5000  12 K 4.15
2 K 0.5000 0.0000 0.0000  2 Ir 2.94
3 K 0.0000 0.0000 0.5000  2 Ir 2.94
4 K 0.0000 0.5000 0.0000  2 Ir 2.94
5 Ir 0.0000 0.0000 0.0000  6 K 2.94

***

(12)
DFT (meta-GGA SCAN) results for a PBEsol-optimized structure of KIrN2F.

formation energy from raw total energies	-0.31	eV per atom
mass density	5.64	g/cm³
M_tot	0.317	μB/f.u.
electronic total energy	-103.125	eV per formula unit
crystal system	tetragonal
SG	P4/mmm
D(E_F)	2.4	states/eV per cell

Cell: 3.7067 3.7067 5.9650 Å, 90.00 90.00 90.00°
Last column: nearest neighbours and their distance in Å.
Atoms (fractional coordinates):
1 N 0.0000 0.5000 0.0000  2 Ir 1.85
2 F 0.0000 0.0000 0.5000  4 K 2.62
3 K 0.5000 0.5000 0.5000  4 F 2.62
4 Ir 0.0000 0.0000 0.0000  4 N 1.85
5 N 0.5000 0.0000 0.0000  2 Ir 1.85

***

(13)
DFT (meta-GGA SCAN) results for a PBEsol-optimized structure of K2RbIrF6.

formation energy from raw total energies	-2.37	eV per atom
mass density	4.15	g/cm³
M_tot	0.173	μB/f.u.
electronic total energy	-153.448	eV per formula unit
crystal system	cubic
SG	Fm-3m
D(E_F)	0.0	states/eV per cell

Cell: 6.4295 6.4295 6.4295 Å, 60.00 60.00 60.00°
Last column: nearest neighbours and their distance in Å.
Atoms (fractional coordinates):
1 Ir 0.0000 0.0000 0.0000  6 F 2.00
2 F 0.7795 0.7795 0.2205  1 Ir 2.00
3 F 0.7795 0.2205 0.7795  1 Ir 2.00
4 Rb 0.5000 0.5000 0.5000  6 F 2.54
5 K 0.2500 0.2500 0.2500  12 F 3.23
6 K 0.7500 0.7500 0.7500  12 F 3.23
7 F 0.2205 0.7795 0.2205  1 Ir 2.00
8 F 0.7795 0.2205 0.2205  1 Ir 2.00
9 F 0.2205 0.7795 0.7795  1 Ir 2.00
10 F 0.2205 0.2205 0.7795  1 Ir 2.00

***

(14)
DFT (meta-GGA SCAN) results for a PBEsol-optimized structure of KRb2IrF6.

formation energy from raw total energies	-2.46	eV per atom
mass density	4.82	g/cm³
M_tot	0.172	μB/f.u.
electronic total energy	-166.780	eV per formula unit
crystal system	cubic
SG	Fm-3m
D(E_F)	0.0	states/eV per cell

Cell: 6.3104 6.3104 6.3104 Å, 60.00 60.00 60.00°
Last column: nearest neighbours and their distance in Å.
Atoms (fractional coordinates):
1 Rb 0.2500 0.2500 0.2500  12 F 3.16
2 K 0.5000 0.5000 0.5000  6 F 2.45
3 F 0.7749 0.7749 0.2251  1 Ir 2.01
4 Rb 0.7500 0.7500 0.7500  12 F 3.16
5 F 0.7749 0.2251 0.2251  1 Ir 2.01
6 Ir 0.0000 0.0000 0.0000  6 F 2.01
7 F 0.2251 0.7749 0.7749  1 Ir 2.01
8 F 0.2251 0.7749 0.2251  1 Ir 2.01
9 F 0.2251 0.2251 0.7749  1 Ir 2.01
10 F 0.7749 0.2251 0.7749  1 Ir 2.01

***

(15)
DFT (meta-GGA SCAN) results for a PBEsol-optimized structure of KSrIrF2.

formation energy from raw total energies	-1.35	eV per atom
mass density	4.24	g/cm³
M_tot	2.000	μB/f.u.
electronic total energy	-115.546	eV per formula unit
crystal system	tetragonal
SG	P4/mmm
D(E_F)	6.7	states/eV per cell

Cell: 4.6980 4.6980 6.3301 Å, 90.00 90.00 90.00°
Last column: nearest neighbours and their distance in Å.
Atoms (fractional coordinates):
1 Ir 0.0000 0.0000 0.5000  2 Sr 3.17, 4 K 3.32
2 Sr 0.0000 0.0000 0.0000  4 F 2.35
3 K 0.5000 0.5000 0.5000  4 Ir 3.32
4 F 0.0000 0.5000 0.0000  2 Sr 2.35
5 F 0.5000 0.0000 0.0000  2 Sr 2.35

***

(16)
DFT (meta-GGA SCAN) results for a PBEsol-optimized structure of LaIr2F.

formation energy from raw total energies	-1.20	eV per atom
mass density	12.66	g/cm³
M_tot	0.000	μB/f.u.
electronic total energy	-193.643	eV per formula unit
crystal system	tetragonal
SG	I-42d
D(E_F)	8.1	states/eV per cell

Cell: 3.5573 3.5573 11.5245 Å, 98.88 98.88 90.00°
Last column: nearest neighbours and their distance in Å.
Atoms (fractional coordinates):
1 Ir 0.1250 0.6228 0.7500  4 Ir 2.50-2.53
2 La 0.2500 0.7500 0.5000  4 F 2.52
3 La 0.0000 0.0000 0.0000  4 F 2.52
4 Ir 0.8728 0.8750 0.2500  4 Ir 2.50-2.53
5 Ir 0.3772 0.3750 0.2500  4 Ir 2.50-2.53
6 Ir 0.6250 0.1272 0.7500  4 Ir 2.50-2.53
7 F 0.5000 0.5000 0.0000  4 La 2.52
8 F 0.7500 0.2500 0.5000  4 La 2.52

***

(17)
DFT (meta-GGA SCAN) results for a PBEsol-optimized structure of LaIr3F.

formation energy from raw total energies	0.55	eV per atom
mass density	14.44	g/cm³
M_tot	0.000	μB/f.u.
electronic total energy	-257.188	eV per formula unit
crystal system	cubic
SG	Pm-3m
D(E_F)	5.7	states/eV per cell

Cell: 4.3881 4.3881 4.3881 Å, 90.00 90.00 90.00°
Last column: nearest neighbours and their distance in Å.
Atoms (fractional coordinates):
1 Ir 0.0000 0.5000 0.0000  2 F 2.19
2 La 0.5000 0.5000 0.5000  12 Ir 3.10
3 Ir 0.5000 0.0000 0.0000  2 F 2.19
4 Ir 0.0000 0.0000 0.5000  2 F 2.19
5 F 0.0000 0.0000 0.0000  6 Ir 2.19

***

(18)
DFT (meta-GGA SCAN) results for a PBEsol-optimized structure of LaIrN2F.

formation energy from raw total energies	0.89	eV per atom
mass density	7.35	g/cm³
M_tot	2.705	μB/f.u.
electronic total energy	-131.867	eV per formula unit
crystal system	tetragonal
SG	P4/mmm
D(E_F)	1.3	states/eV per cell

Cell: 4.3398 4.4355 4.4355 Å, 90.00 90.00 90.00°
Last column: nearest neighbours and their distance in Å.
Atoms (fractional coordinates):
1 La 0.0000 0.0000 0.0000  2 F 2.17, 4 N 2.22
2 F 0.5000 0.0000 0.0000  2 La 2.17
3 N 0.0000 0.0000 0.5000  2 La 2.22
4 N 0.0000 0.5000 0.0000  2 La 2.22
5 Ir 0.5000 0.5000 0.5000  8 N 3.10, 4 F 3.14

***

(19)
DFT (meta-GGA SCAN) results for a PBEsol-optimized structure of LaIrOsF2.

formation energy from raw total energies	-0.91	eV per atom
mass density	10.67	g/cm³
M_tot	0.217	μB/f.u.
electronic total energy	-197.734	eV per formula unit
crystal system	tetragonal
SG	P4/mmm
D(E_F)	3.1	states/eV per cell

Cell: 4.2231 4.2231 4.8817 Å, 90.00 90.00 90.00°
Last column: nearest neighbours and their distance in Å.
Atoms (fractional coordinates):
1 F 0.5000 0.0000 0.0000  2 Os 2.11
2 F 0.0000 0.5000 0.0000  2 Os 2.11
3 Ir 0.0000 0.0000 0.5000  2 Os 2.44
4 Os 0.0000 0.0000 0.0000  4 F 2.11
5 La 0.5000 0.5000 0.5000  4 Ir 2.99, 8 F 3.23

***

(20)
DFT (meta-GGA SCAN) results for a PBEsol-optimized structure of LaIrPt2F.

formation energy from raw total energies	0.34	eV per atom
mass density	11.08	g/cm³
M_tot	1.599	μB/f.u.
electronic total energy	-256.433	eV per formula unit
crystal system	tetragonal
SG	P4/mmm
D(E_F)	2.7	states/eV per cell

Cell: 4.1872 5.1482 5.1482 Å, 90.00 90.00 90.00°
Last column: nearest neighbours and their distance in Å.
Atoms (fractional coordinates):
1 La 0.0000 0.0000 0.0000  2 F 2.09
2 Pt 0.0000 0.5000 0.0000  2 La 2.57
3 Pt 0.0000 0.0000 0.5000  2 La 2.57
4 F 0.5000 0.0000 0.0000  2 La 2.09
5 Ir 0.5000 0.5000 0.5000  8 Pt 3.32, 4 F 3.64